A relaxed Li2Fe5P4O16 crystal. Source: Alexandria via LeMat-Bulk, functional GGA+U.

a = 5.2350 Å, b = 8.1958 Å, c = 8.4973 Å
α = 66.71°, β = 89.24°, γ = 77.03°
Closest atoms and distances in Å follow each position.
Space group P-1 (No. 2)
Inequivalent atoms, fractional coordinates:
Li  0.0671  0.4126  0.2375 [2 per cell]  3 O 1.99-2.20
Fe  0.1280  0.1064  0.6517 [2 per cell]  4 O 1.95-2.18
Fe  0.3985  0.7398  0.2072 [2 per cell]  4 O 1.99-2.22
Fe  0.5000  0.5000  0.0000 [1 per cell]  6 O 2.07-2.30
P  0.1350  0.1987  0.0087 [2 per cell]  4 O 1.53-1.58
P  0.3958  0.7148  0.5865 [2 per cell]  4 O 1.52-1.58
O  0.1320  0.0117  0.1500 [2 per cell]  1 P 1.53
O  0.1475  0.6766  0.0681 [2 per cell]  1 P 1.57
O  0.2405  0.6997  0.4383 [2 per cell]  1 P 1.57
O  0.2501  0.8851  0.6109 [2 per cell]  1 P 1.52
O  0.2743  0.1719  0.8517 [2 per cell]  1 P 1.58
O  0.2754  0.3065  0.0786 [2 per cell]  1 P 1.55
O  0.3135  0.2904  0.4494 [2 per cell]  1 P 1.54
O  0.3731  0.5430  0.7537 [2 per cell]  1 P 1.58

E_tot (eV per atom): -6.909
V (Å³/cell): 325.2
Magnetization (μB/f.u.): 18.000